[1]
Compound: LiNb2InCu
Source: Alexandria
Functional: PBE
Structure: optimized geometry

The density is 6.35 g/cm³. Its symmetry is No. 123. Its formation energy is 0.680 eV/atom.

Cell: 4.749 4.305 4.749 Å, 90.00 90.00 90.00°
Sites, in units of the cell vectors:
Nb 0.500 0.000 0.000
Cu 0.000 0.000 0.000
Li 0.000 0.500 0.000
In 0.500 0.500 0.500
Nb 0.000 0.000 0.500



[2]
Compound: Si3Pt
Source: Alexandria
Functional: PBE
Structure: optimized geometry

The uncorrected formation energy comes out at 144.8 meV per atom. The density is 7.83 g/cm³. Its symmetry is No. 139.

Cell: 4.581 4.581 4.581 Å, 127.10 127.10 78.09°
Sites, in units of the cell vectors:
Si 0.750 0.250 0.500
Pt 0.000 0.000 0.000
Si 0.250 0.750 0.500
Si 0.500 0.500 0.000



[3]
Compound: BaSrAg2Bi2
Source: Alexandria
Functional: PBE
Structure: optimized geometry

The density is 7.31 g/cm³. Its symmetry is No. 164. Its formation energy is -0.634 eV/atom.

Cell: 4.992 4.992 9.042 Å, 90.00 90.00 120.00°
Sites, in units of the cell vectors:
Ag 0.333 0.667 0.722
Ba 0.000 0.000 0.000
Sr 0.000 0.000 0.500
Bi 0.667 0.333 0.743
Ag 0.667 0.333 0.278
Bi 0.333 0.667 0.257



[4]
Compound: LiAgHgGe
Source: Alexandria
Functional: PBE
Structure: optimized geometry

The density is 8.67 g/cm³. Its symmetry is No. 216. Its formation energy is -0.064 eV/atom.

Cell: 4.720 4.720 4.720 Å, 60.00 60.00 60.00°
Sites, in units of the cell vectors:
Ag 0.000 0.000 0.000
Ge 0.750 0.750 0.750
Hg 0.500 0.500 0.500
Li 0.250 0.250 0.250



[5]
Compound: YCdIn
Source: Alexandria
Functional: PBE
Structure: optimized geometry

The density is 6.90 g/cm³. Its symmetry is No. 187. Its formation energy is -0.439 eV/atom.

Cell: 4.862 7.433 4.862 Å, 90.00 120.01 90.00°
Sites, in units of the cell vectors:
Y 0.583 0.830 0.780
In 0.916 0.044 0.446
Cd 0.250 0.536 0.113
Cd 0.250 0.124 0.113
Y 0.583 0.330 0.780
In 0.916 0.615 0.446



[6]
Compound: Pr6In3O
Source: Alexandria
Functional: PBE
Structure: optimized geometry

The uncorrected formation energy comes out at -733.4 meV per atom. The density is 6.75 g/cm³. Its symmetry is No. 12.

Cell: 7.288 6.884 6.884 Å, 60.08 83.16 83.16°
Sites, in units of the cell vectors:
Pr 0.866 0.355 0.355
Pr 0.355 0.145 0.634
In 0.742 0.838 0.838
Pr 0.645 0.366 0.855
In 0.258 0.162 0.162
Pr 0.645 0.855 0.366
Pr 0.134 0.645 0.645
O 0.500 0.500 0.500
In 0.000 0.000 0.000
Pr 0.355 0.634 0.145



[7]
Compound: AcPrPt4
Source: Alexandria
Functional: PBE
Structure: optimized geometry

The density is 15.35 g/cm³. Its symmetry is No. 216. Its formation energy is -1.027 eV/atom.

Cell: 5.600 5.600 5.600 Å, 60.00 60.00 60.00°
Sites, in units of the cell vectors:
Pt 0.625 0.125 0.625
Ac 0.000 0.000 0.000
Pt 0.625 0.625 0.625
Pr 0.250 0.250 0.250
Pt 0.625 0.625 0.125
Pt 0.125 0.625 0.625



[8]
Compound: Re2TeAs
Source: Alexandria
Functional: PBE
Structure: optimized geometry

The uncorrected formation energy comes out at 1087.0 meV per atom. The offset from the most stable computed form comes out at 0.842 eV/atom. The density is 13.55 g/cm³. Its symmetry is No. 47.

Cell: 3.154 5.250 4.256 Å, 90.00 90.00 90.00°
Sites, in units of the cell vectors:
Te 0.500 0.000 0.500
Re 0.500 0.500 0.000
Re 0.000 0.000 0.000
As 0.000 0.500 0.500



[9]
Compound: Ac4TlPd
Source: Alexandria
Functional: PBE
Structure: optimized geometry

The offset from the most stable computed form comes out at 0.119 eV/atom. The density is 8.28 g/cm³. Its symmetry is No. 14. Its formation energy is -0.269 eV/atom.

Cell: 7.795 7.997 7.886 Å, 90.00 96.35 90.00°
Sites, in units of the cell vectors:
Pd 0.000 0.500 0.500
Ac 0.814 0.164 0.353
Ac 0.387 0.852 0.170
Ac 0.186 0.836 0.647
Tl 0.000 0.000 0.000
Ac 0.887 0.648 0.170
Pd 0.500 0.000 0.500
Ac 0.314 0.336 0.353
Ac 0.113 0.352 0.830
Tl 0.500 0.500 0.000
Ac 0.686 0.664 0.647
Ac 0.613 0.148 0.830



[10]
Compound: Nd3SmSn4
Source: Alexandria
Functional: PBE
Structure: optimized geometry

The density is 7.05 g/cm³. Its symmetry is No. 71. Its formation energy is -0.573 eV/atom.

Cell: 3.761 7.242 10.015 Å, 111.20 100.82 90.00°
Sites, in units of the cell vectors:
Nd 0.788 0.788 0.575
Nd 0.212 0.212 0.425
Sn 0.372 0.579 0.743
Sm 0.500 0.000 0.000
Sn 0.628 0.835 0.257
Sn 0.628 0.421 0.257
Nd 0.000 0.500 0.000
Sn 0.372 0.165 0.743



[11]
Compound: La2Sn4HgRh3
Source: Alexandria
Functional: PBE
Structure: optimized geometry

The density is 9.01 g/cm³. Its symmetry is No. 115. Its formation energy is -0.635 eV/atom.

Cell: 4.605 4.605 10.969 Å, 90.00 90.00 90.00°
Sites, in units of the cell vectors:
La 0.500 0.000 0.243
Rh 0.500 0.000 0.877
Hg 0.500 0.500 0.500
Sn 0.500 0.500 0.000
La 0.000 0.500 0.757
Rh 0.000 0.000 0.500
Rh 0.000 0.500 0.123
Sn 0.000 0.500 0.357
Sn 0.500 0.000 0.643
Sn 0.000 0.000 0.000



[12]
Compound: Si2AsPt
Source: Alexandria
Functional: PBE
Structure: optimized geometry

The uncorrected formation energy comes out at -55.7 meV per atom. The density is 8.10 g/cm³. Its symmetry is No. 139.

Cell: 4.428 4.428 4.428 Å, 70.31 70.31 108.99°
Sites, in units of the cell vectors:
As 0.500 0.000 0.500
Si 0.000 0.000 0.000
Pt 0.000 0.500 0.500
Si 0.500 0.500 0.000



[13]
Compound: NaIn6Au
Source: Alexandria
Functional: PBE
Structure: optimized geometry

The density is 6.71 g/cm³. Its symmetry is No. 123. Its formation energy is -0.095 eV/atom.

Cell: 4.901 4.901 9.358 Å, 90.00 90.00 90.00°
Sites, in units of the cell vectors:
Na 0.000 0.000 0.000
In 0.500 0.000 0.331
Au 0.000 0.000 0.500
In 0.500 0.000 0.669
In 0.000 0.500 0.331
In 0.000 0.500 0.669
In 0.500 0.500 0.149
In 0.500 0.500 0.851



[14]
Compound: Nd2HoTa2Rh5
Source: Alexandria
Functional: PBE
Structure: optimized geometry

The density is 10.86 g/cm³. Its symmetry is No. 127. Its formation energy is -0.461 eV/atom.

Cell: 3.758 10.404 10.404 Å, 90.00 90.00 90.00°
Sites, in units of the cell vectors:
Rh 0.500 0.784 0.937
Ta 0.000 0.880 0.380
Nd 0.000 0.678 0.178
Nd 0.000 0.322 0.822
Ho 0.000 0.000 0.000
Ta 0.000 0.120 0.620
Ho 0.000 0.500 0.500
Rh 0.500 0.437 0.284
Rh 0.500 0.063 0.784
Nd 0.000 0.178 0.322
Rh 0.500 0.500 0.000
Rh 0.500 0.216 0.063
Ta 0.000 0.380 0.120
Rh 0.500 0.716 0.437
Rh 0.500 0.284 0.563
Rh 0.500 0.000 0.500
Rh 0.500 0.563 0.716
Ta 0.000 0.620 0.880
Rh 0.500 0.937 0.216
Nd 0.000 0.822 0.678



[15]
Compound: Hg2Pd9Au
Source: Alexandria
Functional: PBE
Structure: optimized geometry

The density is 13.10 g/cm³. Its symmetry is No. 123. Its formation energy is -0.083 eV/atom.

Cell: 4.035 4.035 12.115 Å, 90.00 90.00 90.00°
Sites, in units of the cell vectors:
Hg 0.000 0.000 0.668
Pd 0.500 0.500 0.669
Pd 0.000 0.500 0.164
Pd 0.000 0.500 0.500
Pd 0.500 0.000 0.500
Pd 0.500 0.500 0.331
Au 0.000 0.000 0.000
Hg 0.000 0.000 0.332
Pd 0.500 0.000 0.836
Pd 0.500 0.500 0.000
Pd 0.000 0.500 0.836
Pd 0.500 0.000 0.164



[16]
Compound: Mg2Be2HgPd5
Source: Alexandria
Functional: PBE
Structure: optimized geometry

The density is 8.68 g/cm³. Its symmetry is No. 127. Its formation energy is -0.531 eV/atom.

Cell: 3.369 9.527 9.527 Å, 90.00 90.00 90.00°
Sites, in units of the cell vectors:
Hg 0.000 0.000 0.000
Pd 0.500 0.500 0.000
Pd 0.500 0.000 0.500
Pd 0.500 0.282 0.574
Mg 0.000 0.175 0.325
Be 0.000 0.122 0.622
Pd 0.500 0.574 0.718
Hg 0.000 0.500 0.500
Mg 0.000 0.825 0.675
Pd 0.500 0.718 0.426
Pd 0.500 0.426 0.282
Pd 0.500 0.218 0.074
Mg 0.000 0.675 0.175
Be 0.000 0.878 0.378
Be 0.000 0.378 0.122
Be 0.000 0.622 0.878
Pd 0.500 0.926 0.218
Pd 0.500 0.074 0.782
Mg 0.000 0.325 0.825
Pd 0.500 0.782 0.926



[17]
Compound: KInRh
Source: Alexandria
Functional: PBE
Structure: optimized geometry

The density is 5.17 g/cm³. Its symmetry is No. 44. Its formation energy is -0.049 eV/atom.

Cell: 6.663 6.663 6.663 Å, 151.78 143.75 46.57°
Sites, in units of the cell vectors:
In 0.067 0.067 0.000
K 0.335 0.335 0.000
Rh 0.599 0.599 0.000



[18]
Compound: K3Hg7Pd2
Source: Alexandria
Functional: PBE
Structure: optimized geometry

The offset from the most stable computed form comes out at 0.012 eV/atom. The density is 7.14 g/cm³. Its symmetry is No. 139. Its formation energy is -0.229 eV/atom.

Cell: 5.376 5.376 14.472 Å, 100.70 100.70 90.00°
Sites, in units of the cell vectors:
Hg 0.196 0.196 0.393
Hg 0.095 0.595 0.190
K 0.500 0.500 0.000
Hg 0.595 0.095 0.190
K 0.320 0.320 0.640
Pd 0.097 0.097 0.195
Hg 0.804 0.804 0.607
Pd 0.903 0.903 0.805
Hg 0.405 0.905 0.810
K 0.680 0.680 0.360
Hg 0.905 0.405 0.810
Hg 0.000 0.000 0.000



[19]
Compound: Tm3Sn
Source: Alexandria
Functional: PBE
Structure: optimized geometry

The density is 9.38 g/cm³. Its symmetry is No. 44. Its formation energy is -0.346 eV/atom.

Cell: 3.498 5.807 6.418 Å, 116.90 105.82 90.00°
Sites, in units of the cell vectors:
Tm 0.500 0.477 0.000
Tm 0.267 0.610 0.535
Sn 0.000 0.005 0.000
Tm 0.733 0.075 0.465



[20]
Compound: Mn3MoPt12
Source: Alexandria
Functional: PBE
Structure: optimized geometry

The density is 17.63 g/cm³. Its symmetry is No. 123. Its formation energy is -0.339 eV/atom.

Cell: 3.942 3.942 15.777 Å, 90.00 90.00 90.00°
Each line ends with the local moment (μB).
Sites, in units of the cell vectors:
Pt 0.500 0.000 0.624  0.17
Pt 0.500 0.500 0.500  0.17
Pt 0.500 0.500 0.000  0.07
Mo 0.000 0.000 0.000  0.54
Mn 0.000 0.000 0.500  3.78
Mn 0.000 0.000 0.746  3.86
Pt 0.000 0.500 0.876  0.10
Pt 0.000 0.500 0.124  0.10
Pt 0.500 0.000 0.876  0.10
Pt 0.500 0.000 0.124  0.10
Pt 0.000 0.500 0.624  0.17
Pt 0.500 0.500 0.250  0.15
Pt 0.500 0.500 0.750  0.15
Mn 0.000 0.000 0.254  3.86
Pt 0.500 0.000 0.376  0.17
Pt 0.000 0.500 0.376  0.17



[21]
Compound: RbGa2Te3
Source: Alexandria
Functional: PBE
Structure: optimized geometry

The uncorrected formation energy comes out at -477.2 meV per atom. The density is 4.14 g/cm³. Its symmetry is No. 12.

Cell: 4.906 8.308 13.307 Å, 113.55 100.62 90.00°
Sites, in units of the cell vectors:
Te 0.405 0.633 0.811
Ga 0.301 0.616 0.603
Te 0.222 0.270 0.443
Ga 0.699 0.384 0.397
Te 0.778 0.730 0.557
Rb 0.648 0.854 0.296
Ga 0.058 0.194 0.117
Te 0.950 0.134 0.900
Ga 0.942 0.806 0.883
Rb 0.352 0.146 0.704
Te 0.595 0.367 0.189
Te 0.050 0.866 0.100



[22]
Compound: CrNiSI2
Source: Alexandria
Functional: PBE
Structure: optimized geometry

The uncorrected formation energy comes out at 1086.2 meV per atom. The density is 5.56 g/cm³. Its symmetry is No. 123.

Cell: 5.143 4.476 5.143 Å, 90.00 90.00 90.00°
Each line ends with the local moment (μB).
Sites, in units of the cell vectors:
I 0.000 0.000 0.500  0.04
S 0.500 0.500 0.500  0.35
Cr 0.000 0.000 0.000  0.32
Ni 0.000 0.500 0.000  0.23
I 0.500 0.000 0.000  0.02



[23]
Compound: SrRu2Au
Source: Alexandria
Functional: PBE
Structure: optimized geometry

The offset from the most stable computed form comes out at 0.693 eV/atom. The density is 10.66 g/cm³. Its symmetry is No. 225. Its formation energy is 0.784 eV/atom.

Cell: 4.751 4.751 4.751 Å, 60.00 60.00 60.00°
Each line ends with the local moment (μB).
Sites, in units of the cell vectors:
Ru 0.750 0.750 0.750  1.38
Ru 0.250 0.250 0.250  1.38
Au 0.500 0.500 0.500  0.13
Sr 0.000 0.000 0.000  0.00



[24]
Compound: La2CrCd
Source: Alexandria
Functional: PBE
Structure: optimized geometry

The density is 6.73 g/cm³. Its symmetry is No. 119. Its formation energy is 0.173 eV/atom.

Cell: 5.891 5.891 5.891 Å, 132.49 132.49 69.46°
Each line ends with the local moment (μB).
Sites, in units of the cell vectors:
Cr 0.750 0.250 0.500  3.65
La 0.250 0.750 0.500  -0.19
Cd 0.500 0.500 0.000  -0.03
La 0.000 0.000 0.000  -0.14